# CsSbBrCl2

An optimized crystal structure of CsSbBrCl2 (GGA-PBE, Alexandria via LeMat-Bulk).

Cell: 5.5774 5.5774 5.8339 Å, 90.00 90.00 90.00°
With the nearest neighbours (Å) after each atom.
Atoms (fractional coordinates):
Cs 0.5000 0.5000 0.5000  4 Br 3.94, 8 Cl 4.04
Sb 0.0000 0.0000 0.0000  4 Cl 2.79, 2 Br 2.92
Br 0.0000 0.0000 0.5000  2 Sb 2.92
Cl 0.0000 0.5000 0.0000  2 Sb 2.79
Cl 0.5000 0.0000 0.0000  2 Sb 2.79

E_tot in eV/atom: -3.162
Fermi-level density of states in states/eV/cell: 0.70
Formation energy (no corrections) in eV per atom: -1.094


# Cs2SbBr6Cl

An optimized crystal structure of Cs2SbBr6Cl (GGA-PBE, Alexandria via LeMat-Bulk).

Cell: 8.1798 8.1798 8.2028 Å, 60.09 60.09 90.00°
With the nearest neighbours (Å) after each atom.
Atoms (fractional coordinates):
Cs 0.7500 0.2500 0.5000  12 Br 4.10-4.11
Cs 0.2500 0.7500 0.5000  12 Br 4.10-4.11
Sb 0.0000 0.0000 0.0000  6 Br 2.66
Br 0.2287 0.2287 0.5426  1 Sb 2.66
Br 0.7713 0.7713 0.4574  1 Sb 2.66
Br 0.2298 0.2298 0.0000  1 Sb 2.66
Br 0.7702 0.7702 0.0000  1 Sb 2.66
Br 0.7702 0.2298 0.0000  1 Sb 2.66
Br 0.2298 0.7702 0.0000  1 Sb 2.66
Cl 0.5000 0.5000 0.0000  6 Br 3.13-3.16

E_tot in eV/atom: -2.770
Fermi-level density of states in states/eV/cell: 0.00
Formation energy (no corrections) in eV per atom: -0.998


Repeat the second record exactly.
# Cs2SbBr6Cl

An optimized crystal structure of Cs2SbBr6Cl (GGA-PBE, Alexandria via LeMat-Bulk).

Cell: 8.1798 8.1798 8.2028 Å, 60.09 60.09 90.00°
With the nearest neighbours (Å) after each atom.
Atoms (fractional coordinates):
Cs 0.7500 0.2500 0.5000  12 Br 4.10-4.11
Cs 0.2500 0.7500 0.5000  12 Br 4.10-4.11
Sb 0.0000 0.0000 0.0000  6 Br 2.66
Br 0.2287 0.2287 0.5426  1 Sb 2.66
Br 0.7713 0.7713 0.4574  1 Sb 2.66
Br 0.2298 0.2298 0.0000  1 Sb 2.66
Br 0.7702 0.7702 0.0000  1 Sb 2.66
Br 0.7702 0.2298 0.0000  1 Sb 2.66
Br 0.2298 0.7702 0.0000  1 Sb 2.66
Cl 0.5000 0.5000 0.0000  6 Br 3.13-3.16

E_tot in eV/atom: -2.770
Fermi-level density of states in states/eV/cell: 0.00
Formation energy (no corrections) in eV per atom: -0.998


- Among the records above, which one has the lowest formation energy (no corrections)?
  CsSbBrCl2